# 1
MgCrSb: relaxed, GGA-PBEsol.

a = 4.6428 Å, b = 4.6428 Å, c = 3.2605 Å
α = 90.00°, β = 90.00°, γ = 120.00°
Space group P-6m2 (No. 187)
Unique sites:
Mg1 0.0000 0.0000 0.0000 (multiplicity 1)
Cr1 0.6667 0.3333 0.5000 (multiplicity 1)
Sb1 0.3333 0.6667 0.5000 (multiplicity 1)

## Properties
Total moment: 3.78 μB/f.u.

# 2
IrBrN3: relaxed, GGA-PBEsol.

a = 3.881 Å, b = 3.881 Å, c = 3.881 Å
α = 90.00°, β = 90.00°, γ = 90.00°
Space group Pm-3m (No. 221)
Unique sites:
Ir1 0.000 0.000 0.000 (multiplicity 1)
Br1 0.500 0.500 0.500 (multiplicity 1)
N1 0.000 0.000 0.500 (multiplicity 3)

## Properties
Total moment: 0.92 μB/f.u.

# 3
YTiSi2Sn: relaxed, GGA-PBEsol.

a = 4.797 Å, b = 4.797 Å, c = 5.098 Å
α = 90.00°, β = 90.00°, γ = 90.00°
Space group P4/mmm (No. 123)
Unique sites:
Y1 0.000 0.000 0.000 (multiplicity 1)
Ti1 0.000 0.000 0.500 (multiplicity 1)
Si1 0.000 0.500 0.500 (multiplicity 2)
Sn1 0.500 0.500 0.000 (multiplicity 1)

## Properties
Total moment: 0.00 μB/f.u.

Per-record volume, Å³ per cell: 60.87; 58.46; 117.33
Per-record VASP energy, eV/atom: -5.170; -5.981; -5.807
Per-record E_form (uncorrected), eV per atom: 0.336; 1.474; 0.372